Material: MnHI2O
Method: DFT, PBE+U
State: relaxed

Results
The raw total energy comes out at -3.671 eV per atom. The total moment is 4.53 μB per cell. The density of states at the Fermi level comes out at 5.0 states/eV per cell.

a b c (Å): 6.0746 6.0746 3.5986
angles (deg): 90.00 90.00 90.00
Last column: nearest neighbours and their distance in Å.
Positions (direct):
I 0.0000 0.5000 0.0000  2 Mn 3.04
I 0.5000 0.0000 0.0000  2 Mn 3.04
H 0.5000 0.5000 0.5000  8 I 3.53, 2 H 3.60
Mn 0.0000 0.0000 0.0000  2 O 1.80
O 0.0000 0.0000 0.5000  2 Mn 1.80